Record 1
This record from the Alexandria database describes an optimized crystal structure of CsGaBr4. The functional is PBEsol.

## Properties
The crystal system is orthorhombic. For the total magnetization, the calculation gives 0.000 μB/atom. The calculated total energy is -0.1166 Ha/atom. The value obtained for the uncorrected formation energy is -1211 meV per atom.

Structure (extended XYZ):
```
24
Lattice="7.3760 0.0000 0.0000 0.0000 9.9976 0.0000 0.0000 0.0000 12.1554" Properties=species:S:1:pos:R:3 pbc="T T T"
Cs 5.5320 6.5523 3.8745
Cs 1.8440 1.5535 2.2032
Cs 5.5320 8.4441 9.9521
Cs 1.8440 3.4453 8.2809
Ga 5.5320 2.0212 5.3137
Ga 1.8440 7.0201 0.7640
Ga 1.8440 7.9764 6.8417
Ga 5.5320 2.9776 11.3913
Br 1.8440 6.2900 10.7132
Br 3.7318 8.3750 1.1122
Br 3.7318 6.6214 7.1899
Br 5.5320 4.6818 9.8032
Br 3.6442 3.3762 4.9654
Br 3.6442 1.6226 11.0431
Br 7.3322 8.3750 1.1122
Br 1.8440 9.6807 8.4299
Br 1.8440 5.3158 2.3522
Br 0.0438 1.6226 11.0431
Br 5.5320 0.3170 3.7255
Br 5.5320 1.2912 7.5198
Br 7.3322 6.6214 7.1899
Br 0.0438 3.3762 4.9654
Br 5.5320 3.7076 1.4422
Br 1.8440 8.7064 4.6355
```


Record 2
This record from the Alexandria database describes an optimized crystal structure of KMg2Pd2. The functional is PBEsol.

## Properties
The crystal system is tetragonal. For the total magnetization, the calculation gives 0.000 μB/atom. The calculated total energy is -0.1290 Ha/atom. Its formation energy is -0.2134 eV per atom.

Structure (extended XYZ):
```
5
Lattice="-2.9443 3.3525 -0.0866 -3.3412 -2.9225 0.4593 3.5031 0.2447 5.3604" Properties=species:S:1:pos:R:3 pbc="T T T"
K 0.0000 0.0000 0.0000
Mg -1.4904 -1.2314 3.0030
Mg -1.2920 1.9061 2.7301
Pd 0.2750 0.3508 4.2325
Pd -3.0574 0.3239 1.5007
```


Record 3
This record from the Alexandria database describes an optimized crystal structure of CuBr. The functional is PBEsol.

## Properties
The crystal system is hexagonal. For the total magnetization, the calculation gives 0.000 μB/atom. The calculated total energy is -0.1197 Ha/atom. The value obtained for the uncorrected formation energy is -154 meV per atom.

Structure (extended XYZ):
```
4
Lattice="-1.7342 3.6818 0.1824 -1.7199 -3.1588 1.9133 3.0489 1.2020 4.7251" Properties=species:S:1:pos:R:3 pbc="T T T"
Br -0.9672 1.7021 1.9406
Br 0.5620 0.0230 4.8802
Cu 0.7622 0.3005 1.1813
Cu 2.2867 0.9015 3.5438
```


Record 4
This record from the Alexandria database describes an optimized crystal structure of SrAsO3. The functional is PBEsol.

## Properties
The crystal system is cubic. For the total magnetization, the calculation gives 0.219 μB/atom. The calculated total energy is -0.1619 Ha/atom. The value obtained for the uncorrected formation energy is 132 meV per atom.

Structure (extended XYZ):
```
5
Lattice="-2.5314 -3.3484 1.3479 2.3673 -2.7829 -2.4675 2.7249 -0.6931 3.3958" Properties=species:S:1:pos:R:3 pbc="T T T"
As 0.0000 0.0000 0.0000
O 2.5461 -1.7380 0.4642
O 0.0967 -2.0208 2.3718
O -0.0821 -3.0657 -0.5598
Sr 1.2803 -3.4122 1.1381
```


Record 5
This record from the Alexandria database describes an optimized crystal structure of Li3In. The functional is PBEsol.

## Properties
The crystal system is cubic. For the total magnetization, the calculation gives 0.000 μB/atom. The calculated total energy is -0.0894 Ha/atom. Its formation energy is -0.2120 eV per atom. The excess energy over the best structure of this formula in the dataset comes out at 18 kJ/mol of formula units.

Structure (extended XYZ):
```
4
Lattice="-1.2818 1.2806 3.7640 2.4915 -2.8232 1.8090 3.0984 2.8000 0.1025" Properties=species:S:1:pos:R:3 pbc="T T T"
In 0.0000 0.0000 0.0000
Li 2.7950 -0.0116 0.9558
Li 0.9083 2.0403 1.9333
Li 0.6048 -0.7713 2.7865
```


Record 6
This record from the Alexandria database describes an optimized crystal structure of LaGa3Rh. The functional is PBEsol.

## Properties
The crystal system is cubic. For the total magnetization, the calculation gives 0.000 μB/atom. The calculated total energy is -0.1916 Ha/atom. Its formation energy is -0.5132 eV per atom.

Structure (extended XYZ):
```
5
Lattice="4.7034 0.0000 0.0000 0.0000 4.7034 0.0000 0.0000 0.0000 4.7034" Properties=species:S:1:pos:R:3 pbc="T T T"
Rh 0.0000 0.0000 0.0000
Ga 0.0000 2.3517 0.0000
Ga 0.0000 0.0000 2.3517
Ga 2.3517 0.0000 0.0000
La 2.3517 2.3517 2.3517
```


Q: Look up the total magnetization of the second one.
A: 0.000 μB/atom